Entry P
Material: TeMo2Pb
Method: DFT, PBEsol
State: relaxed

The structure in CIF format:
```
data_TeMo2Pb
_chemical_formula_sum 'Te2 Mo4 Pb2'
_space_group_name_H-M_alt 'C m m m'
_space_group_IT_number 65
_space_group_name_Hall '-C 2 2'
_cell_length_a 3.3084
_cell_length_b 5.3926
_cell_length_c 8.7854
_cell_angle_alpha 90.00
_cell_angle_beta 90.00
_cell_angle_gamma 90.00
loop_
_atom_site_label
_atom_site_type_symbol
_atom_site_fract_x
_atom_site_fract_y
_atom_site_fract_z
Te1 Te 0.0000 0.0000 0.0000
Mo1 Mo 0.0000 0.5000 0.2372
Pb1 Pb 0.0000 0.0000 0.5000
```

Values from the calculation:
Fermi-level density of states ... 8.76 states/eV/cell
Density ... 11.159 g cm⁻³


Entry Q
Material: TeMo2Pb
Method: DFT, PBEsol
State: relaxed

The structure in CIF format:
```
data_TeMo2Pb
_chemical_formula_sum 'Te1 Mo2 Pb1'
_space_group_name_H-M_alt 'P 1 m 1'
_space_group_IT_number 6
_cell_length_a 3.2254
_cell_length_b 4.9502
_cell_length_c 4.8174
_cell_angle_alpha 90.00
_cell_angle_beta 90.13
_cell_angle_gamma 90.00
loop_
_space_group_symop_operation_xyz
'x,y,z'
'x,-y,z'
loop_
_atom_site_label
_atom_site_type_symbol
_atom_site_fract_x
_atom_site_fract_y
_atom_site_fract_z
Te1 Te 0.0000 0.0000 0.0000
Mo1 Mo 0.0004 0.5000 0.2562
Mo2 Mo 0.5015 0.0000 0.4479
Pb1 Pb 0.5000 0.5000 0.7408
```

Values from the calculation:
Fermi-level density of states ... 3.84 states/eV/cell
Density ... 11.370 g cm⁻³


It is entry Q that is the most stable of them.